[1]
Compound: CoPS2N
Source: Alexandria
Functional: GGA-PBE
Structure: optimized geometry

```
CoPS2N
1.0
4.100 0.000 0.000
0.000 3.165 0.000
-0.721 0.000 6.607
Co P S N
1 1 2 1
Direct
0.000 0.000 0.000 Co
0.443 0.500 0.292 P
0.658 0.500 0.882 S
0.819 0.000 0.319 S
0.331 0.500 0.038 N
```

Results
* ΔE_f (raw): 0.1 eV per formula unit
* SG: No. 6
* E above lowest polymorph: 81 meV/atom
* V: 17.1 A^3/atom



[2]
Compound: K2Cu3RhF12
Source: Alexandria
Functional: GGA-PBE
Structure: optimized geometry

```
K2Cu3RhF12
1.0
3.547 2.048 6.411
-3.547 2.048 6.411
0.000 -4.095 6.411
K Cu Rh F
2 3 1 12
Direct
0.110 0.110 0.110 K
0.890 0.890 0.890 K
0.000 0.500 0.500 Cu
0.500 0.000 0.500 Cu
0.500 0.500 0.000 Cu
0.500 0.500 0.500 Rh
0.174 0.581 0.581 F
0.175 0.175 0.580 F
0.175 0.580 0.175 F
0.419 0.419 0.826 F
0.419 0.826 0.419 F
0.420 0.825 0.825 F
0.580 0.175 0.175 F
0.581 0.174 0.581 F
0.581 0.581 0.174 F
0.825 0.420 0.825 F
0.825 0.825 0.420 F
0.826 0.419 0.419 F
```

Results
* ΔE_f (raw): -33.3 eV per formula unit
* SG: No. 166
* V: 15.5 A^3/atom



[3]
Compound: La7Pm2Cd2
Source: Alexandria
Functional: GGA-PBE
Structure: optimized geometry

```
La7Pm2Cd2
1.0
-1.876 8.929 5.790
1.876 -8.929 5.790
1.876 8.929 -5.790
La Pm Cd
7 2 2
Direct
0.000 0.000 0.000 La
0.013 0.691 0.321 La
0.335 0.441 0.894 La
0.370 0.691 0.679 La
0.546 0.441 0.106 La
0.569 0.220 0.349 La
0.871 0.220 0.651 La
0.176 0.955 0.221 Pm
0.734 0.955 0.779 Pm
0.250 0.750 0.500 Cd
0.696 0.696 0.000 Cd
```

Results
* SG: No. 44
* E above lowest polymorph: 0 meV/atom
* ΔH_f (0 K): -0.004 eV per atom
* V: 35.3 A^3/atom



[4]
Compound: AlTlO2
Source: Alexandria
Functional: GGA-PBE
Structure: optimized geometry

```
AlTlO2
1.0
3.395 0.000 0.000
-1.696 4.996 0.000
-1.683 -1.717 8.441
Al Tl O
2 2 4
Direct
0.148 0.279 0.017 Al
0.852 0.721 0.983 Al
0.245 0.831 0.656 Tl
0.755 0.169 0.344 Tl
0.079 0.013 0.147 O
0.251 0.587 0.915 O
0.749 0.413 0.085 O
0.921 0.987 0.853 O
```

Results
* ΔE_f (raw): -8.4 eV per formula unit
* SG: No. 2
* E above lowest polymorph: 38 meV/atom
* V: 17.9 A^3/atom